Entry 1:
DFT (PBE-GGA) results for DyHfPd after structural relaxation.

The space group is I4mm (No. 107) and the conventional cell measures 3.4155, 3.4155 and 11.3491 Å, with angles of 90.00, 90.00 and 90.00 degrees. The distinct sites, in fractional coordinates, are Dy at (0.0000, 0.0000, 0.0000), Hf at (0.0000, 0.0000, 0.3020) and Pd at (0.0000, 0.0000, 0.6732).

The formation energy is -433 meV/atom. As for the density of states at the Fermi level: 1.29 states/eV per atom. The size of the total moment comes out at 0.000 μB/f.u. As for the final energy: -7.0160 eV/atom.

Entry 2:
DFT (PBE-GGA) results for YTc2P after structural relaxation.

The space group is I-42d (No. 122) and the conventional cell measures 4.1266, 4.1266 and 18.0807 Å, with angles of 90.00, 90.00 and 90.00 degrees. The distinct sites, in fractional coordinates, are Y at (0.0000, 0.0000, 0.0000), Tc at (0.1429, 0.7500, 0.6250) and P at (0.0000, 0.0000, 0.5000).

The formation energy is -70 meV/atom. As for the density of states at the Fermi level: 0.61 states/eV per atom. The size of the total moment comes out at 0.000 μB/f.u. As for the final energy: -8.2211 eV/atom.

Entry 3:
DFT (PBE-GGA) results for ScGa2I8 after structural relaxation.

The space group is C2/m (No. 12) and the conventional cell measures 13.5306, 11.3090 and 7.0929 Å, with angles of 90.00, 99.34 and 90.00 degrees. The distinct sites, in fractional coordinates, are Sc at (0.0000, 0.0000, 0.0000), Ga at (0.1964, 0.0000, 0.6581), I at (0.0893, 0.1771, 0.7853), I at (0.1183, 0.5000, 0.1848) and I at (0.1906, 0.0000, 0.2742).

The value obtained for the uncorrected formation energy is -0.683 eV per atom. As for the density of states at the Fermi level: 0.41 states/eV per atom. The size of the total moment comes out at 0.000 μB/f.u. As for the final energy: -2.9364 eV/atom.

Entry 4:
DFT (PBE-GGA) results for Pr5Pa3Se8 after structural relaxation.

The space group is R-3m (No. 166, hexagonal axes) and the conventional cell measures 8.3224, 8.3224 and 20.8368 Å, with angles of 90.00, 90.00 and 120.00 degrees. The distinct sites, in fractional coordinates, are Pr at (0.0000, 0.0000, 0.0000), Pr at (0.0000, 0.0000, 0.5000), Pr at (0.0000, 0.5000, 0.0000), Pa at (0.0000, 0.5000, 0.5000), Se at (0.0000, 0.0000, 0.2464) and Se at (0.0057, 0.5029, 0.7528).

The value obtained for the uncorrected formation energy is -1.575 eV per atom. As for the density of states at the Fermi level: 1.16 states/eV per atom. The size of the total moment comes out at 2.778 μB/f.u. As for the final energy: -6.5911 eV/atom.

Q: Among the records above, which one has the lowest final energy?
A: YTc2P

Q: Which value of final energy does entry 1 give?
A: -7.0160 eV/atom